(1)
DFT (meta-GGA SCAN) results for BaLiTl2 at its PBEsol-relaxed geometry.

Cell lengths 4.8417, 4.8417, 6.7075 Å; angles 68.84, 68.84, 60.00 degrees
Last column: nearest neighbours and their distance in Å.
Fractional coordinates of all 4 atoms:
Li: 0.5000 0.5000 0.5000  6 Tl 2.90
Tl: 0.7914 0.7914 0.6258  3 Li 2.90, 3 Tl 3.19
Tl: 0.2086 0.2086 0.3742  3 Li 2.90, 3 Tl 3.19
Ba: 0.0000 0.0000 0.0000  8 Tl 3.61-3.82

- Energy: -188.6 eV/cell
- Energy of formation from the pure elements: -47.7 kJ/mol of atoms
- Fermi-level density of states: 3.2 states/eV/cell

(2)
DFT (meta-GGA SCAN) results for Ce3TaCl3O6 at its PBEsol-relaxed geometry.

Cell lengths 5.3356, 9.1634, 9.1634 Å; angles 120.00, 90.00, 90.00 degrees
Last column: nearest neighbours and their distance in Å.
Fractional coordinates of all 26 atoms:
Ta: 0.2500 0.3333 0.6667  6 O 1.99
Ta: 0.7500 0.6667 0.3333  6 O 1.99
Cl: 0.2500 0.0525 0.8124  4 Ce 2.96-3.02, 4 O 2.99-3.00
Cl: 0.7500 0.9475 0.1876  4 Ce 2.96-3.02, 4 O 2.99-3.00
Cl: 0.2500 0.1876 0.2401  4 Ce 2.96-3.02, 4 O 2.99-3.00
Cl: 0.7500 0.8124 0.7599  4 Ce 2.96-3.02, 4 O 2.99-3.00
Cl: 0.2500 0.7599 0.9475  4 Ce 2.96-3.02, 4 O 2.99-3.00
Cl: 0.7500 0.2401 0.0525  4 Ce 2.96-3.02, 4 O 2.99-3.00
Ce: 0.2500 0.6823 0.5908  6 O 2.32-2.58
Ce: 0.2500 0.9086 0.3177  6 O 2.32-2.58
Ce: 0.7500 0.5908 0.9086  6 O 2.32-2.58
Ce: 0.7500 0.0914 0.6823  6 O 2.32-2.58
Ce: 0.2500 0.4092 0.0914  6 O 2.32-2.58
Ce: 0.7500 0.3177 0.4092  6 O 2.32-2.58
O: 0.5096 0.5183 0.3636  1 Ta 1.99
O: 0.0096 0.4817 0.6364  1 Ta 1.99
O: 0.4904 0.3636 0.8453  1 Ta 1.99
O: 0.4904 0.1547 0.5183  1 Ta 1.99
O: 0.9904 0.5183 0.3636  1 Ta 1.99
O: 0.5096 0.6364 0.1547  1 Ta 1.99
O: 0.0096 0.1547 0.5183  1 Ta 1.99
O: 0.0096 0.3636 0.8453  1 Ta 1.99
O: 0.4904 0.4817 0.6364  1 Ta 1.99
O: 0.9904 0.8453 0.4817  1 Ta 1.99
O: 0.9904 0.6364 0.1547  1 Ta 1.99
O: 0.5096 0.8453 0.4817  1 Ta 1.99

- Energy: -609.1 eV/cell
- Fermi-level density of states: 29.4 states/eV/cell

(3)
DFT (meta-GGA SCAN) results for BaHPt2 at its PBEsol-relaxed geometry.

Cell lengths 5.8281, 5.8281, 5.8281 Å; angles 60.00, 60.00, 60.00 degrees
Last column: nearest neighbours and their distance in Å.
Fractional coordinates of all 8 atoms:
Ba: 0.2500 0.2500 0.2500  12 Pt 3.42, 4 Ba 3.57, 4 H 3.57
Ba: 0.0000 0.0000 0.0000  12 Pt 3.42, 4 Ba 3.57, 4 H 3.57
H: 0.5000 0.5000 0.5000  4 Pt 1.78
H: 0.7500 0.7500 0.7500  4 Pt 1.78
Pt: 0.6250 0.6250 0.6250  2 H 1.78
Pt: 0.6250 0.1250 0.6250  2 H 1.78
Pt: 0.6250 0.6250 0.1250  2 H 1.78
Pt: 0.1250 0.6250 0.6250  2 H 1.78

- Energy: -371.1 eV/cell
- Distance to the lowest polymorph of the same formula: 0.000 eV/atom
- Fermi-level density of states: 1.0 states/eV/cell

(4)
DFT (meta-GGA SCAN) results for La7Cd at its PBEsol-relaxed geometry.

Cell lengths 7.1023, 7.1023, 7.1023 Å; angles 60.00, 60.00, 60.00 degrees
Last column: nearest neighbours and their distance in Å.
Fractional coordinates of all 8 atoms:
La: 0.0000 0.5000 0.5000  10 La 3.55, 2 Cd 3.55
La: 0.5000 0.0000 0.0000  2 Cd 3.55, 10 La 3.55
La: 0.5000 0.5000 0.5000  12 La 3.55
La: 0.5000 0.0000 0.5000  10 La 3.55, 2 Cd 3.55
La: 0.0000 0.0000 0.5000  10 La 3.55, 2 Cd 3.55
La: 0.0000 0.5000 0.0000  10 La 3.55, 2 Cd 3.55
La: 0.5000 0.5000 0.0000  10 La 3.55, 2 Cd 3.55
Cd: 0.0000 0.0000 0.0000  12 La 3.55

- Energy: -332.9 eV/cell
- Energy of formation from the pure elements: -8.6 kJ/mol of atoms
- Fermi-level density of states: 8.8 states/eV/cell